<A>
A plane-wave DFT calculation with PBE was carried out for LuCuHgAs after structural relaxation.

Summary:
total magnetic moment	0.00	μB/cell
density	10.6	g/cm³

a b c (Å): 4.8547 4.8547 4.8547
angles (deg): 60.00 60.00 60.00
Atoms (fractional coordinates):
Cu: 0.7500 0.7500 0.7500
Hg: 0.2500 0.2500 0.2500
Lu: 0.5000 0.5000 0.5000
As: 0.0000 0.0000 0.0000

---

<B>
A plane-wave DFT calculation with PBE was carried out for LuCuHgAs after structural relaxation.

Summary:
total magnetic moment	0.00	μB/cell
density	10.7	g/cm³

a b c (Å): 4.8323 4.8323 4.8323
angles (deg): 60.00 60.00 60.00
Atoms (fractional coordinates):
Lu: 0.2500 0.2500 0.2500
Hg: 0.5000 0.5000 0.5000
Cu: 0.7500 0.7500 0.7500
As: 0.0000 0.0000 0.0000

---

Energies in meV per atom, measured from the most stable structure: <A> 147; <B> 0.

---

<A>
A plane-wave DFT calculation with PBE was carried out for NbCuHgAs after structural relaxation.

Summary:
total magnetic moment	1.72	μB/cell
density	9.7	g/cm³

a b c (Å): 4.7148 4.7148 4.7148
angles (deg): 60.00 60.00 60.00
Atoms (fractional coordinates):
As: 0.0000 0.0000 0.0000
Hg: 0.2500 0.2500 0.2500
Nb: 0.5000 0.5000 0.5000
Cu: 0.7500 0.7500 0.7500

---

<B>
A plane-wave DFT calculation with PBE was carried out for NbCuHgAs after structural relaxation.

Summary:
total magnetic moment	0.04	μB/cell
density	10.3	g/cm³

a b c (Å): 4.6133 4.6133 4.6133
angles (deg): 60.00 60.00 60.00
Atoms (fractional coordinates):
As: 0.0000 0.0000 0.0000
Cu: 0.7500 0.7500 0.7500
Nb: 0.2500 0.2500 0.2500
Hg: 0.5000 0.5000 0.5000

---

Energies in meV per atom, measured from the most stable structure: <A> 336; <B> 0.

---

<A>
A plane-wave DFT calculation with PBE was carried out for CuReHgAs after structural relaxation.

Summary:
total magnetic moment	0.01	μB/cell
density	13.4	g/cm³

a b c (Å): 4.5124 4.5124 4.5124
angles (deg): 60.00 60.00 60.00
Atoms (fractional coordinates):
Cu: 0.7500 0.7500 0.7500
Hg: 0.5000 0.5000 0.5000
Re: 0.2500 0.2500 0.2500
As: 0.0000 0.0000 0.0000

---

<B>
A plane-wave DFT calculation with PBE was carried out for CuReHgAs after structural relaxation.

Summary:
total magnetic moment	1.78	μB/cell
density	12.5	g/cm³

a b c (Å): 4.6182 4.6182 4.6182
angles (deg): 60.00 60.00 60.00
Atoms (fractional coordinates):
Hg: 0.2500 0.2500 0.2500
Re: 0.5000 0.5000 0.5000
Cu: 0.7500 0.7500 0.7500
As: 0.0000 0.0000 0.0000

---

Energies in meV per atom, measured from the most stable structure: <A> 0; <B> 413.

---

<A>
A plane-wave DFT calculation with PBE was carried out for TaCuHgAs after structural relaxation.

Summary:
total magnetic moment	0.94	μB/cell
density	11.8	g/cm³

a b c (Å): 4.6958 4.6958 4.6958
angles (deg): 60.00 60.00 60.00
Atoms (fractional coordinates):
Cu: 0.7500 0.7500 0.7500
Hg: 0.2500 0.2500 0.2500
Ta: 0.5000 0.5000 0.5000
As: 0.0000 0.0000 0.0000

---

<B>
A plane-wave DFT calculation with PBE was carried out for TaCuHgAs after structural relaxation.

Summary:
total magnetic moment	0.00	μB/cell
density	12.4	g/cm³

a b c (Å): 4.6157 4.6157 4.6157
angles (deg): 60.00 60.00 60.00
Atoms (fractional coordinates):
As: 0.0000 0.0000 0.0000
Ta: 0.2500 0.2500 0.2500
Hg: 0.5000 0.5000 0.5000
Cu: 0.7500 0.7500 0.7500

---

Energies in meV per atom, measured from the most stable structure: <A> 377; <B> 0.